# 1
Crystalline PaIn2Ru at its relaxed geometry. Source: Alexandria, functional PBE.

Properties
Formation energy from the elements in meV/atom: -247

Geometry as POSCAR:
```
PaIn2Ru
1.0
-2.564 1.433 -2.186
-2.030 -0.347 5.208
3.179 8.437 1.801
In Pa Ru
4 2 2
Direct
0.641 0.283 0.447
0.359 0.717 0.947
0.359 0.717 0.553
0.641 0.283 0.053
0.938 0.876 0.250
0.062 0.124 0.750
0.741 0.477 0.750
0.259 0.523 0.250
```

=====

# 2
Crystalline SmZnRh at its relaxed geometry. Source: Alexandria, functional PBE.

Properties
Formation energy from the elements in meV/atom: -470

Geometry as POSCAR:
```
SmZnRh
1.0
-2.136 0.217 4.043
-1.289 -3.849 2.117
2.157 -1.353 3.804
Rh Sm Zn
1 1 1
Direct
0.250 0.250 0.250
0.500 0.500 0.500
0.000 0.000 0.000
```

=====

# 3
Crystalline KMg2Ag at its relaxed geometry. Source: Alexandria, functional PBE.

Properties
Formation energy from the elements in meV/atom: 48

Geometry as POSCAR:
```
KMg2Ag
1.0
3.507 -0.004 0.000
0.003 3.507 0.000
0.000 0.000 9.105
K Mg Ag
1 2 1
Direct
0.500 0.500 0.750
0.000 0.000 0.419
0.000 0.000 0.081
0.500 0.500 0.250
```

=====

# 4
Crystalline Cs3U3CuTe8 at its relaxed geometry. Source: Alexandria, functional PBE.

Properties
Formation energy without anion corrections in eV/atom: -0.695

Geometry as POSCAR:
```
Cs3U3CuTe8
1.0
-7.350 5.532 1.856
-0.579 -6.983 -5.211
0.438 -2.642 9.614
Cs Te U Cu
3 8 3 1
Direct
0.000 0.500 0.000
0.500 0.500 0.000
0.000 0.000 0.000
0.807 0.615 0.342
0.731 0.461 0.692
0.249 0.943 0.699
0.269 0.539 0.308
0.306 0.057 0.301
0.193 0.385 0.658
0.694 0.943 0.699
0.751 0.057 0.301
0.000 0.500 0.500
0.500 0.500 0.500
0.500 0.000 0.500
0.000 0.000 0.500
```

=====

# 5
Crystalline LaW2Cl at its relaxed geometry. Source: Alexandria, functional PBE.

Properties
Formation energy without anion corrections in eV/atom: 0.565

Geometry as POSCAR:
```
LaW2Cl
1.0
5.619 0.021 0.005
1.572 5.394 -0.005
-2.669 -3.938 2.990
La W Cl
1 2 1
Direct
0.267 0.767 0.500
0.752 0.252 0.500
0.944 0.944 0.000
0.536 0.536 0.000
```

=====

# 6
Crystalline Ba2VTcC at its relaxed geometry. Source: Alexandria, functional PBE.

Properties
Formation energy from the elements in meV/atom: 1096

Geometry as POSCAR:
```
Ba2VTcC
1.0
5.855 0.000 0.000
0.000 3.940 0.000
0.000 0.000 5.855
C Tc Ba V
1 1 2 1
Direct
0.000 0.000 0.000
0.000 0.500 0.000
0.000 0.000 0.500
0.500 0.000 0.000
0.500 0.500 0.500
```

=====

Number 1: E -50.5 eV/cell, N(E_F) 6.99 states/eV/cell. Number 2: E -14.8 eV/cell, N(E_F) 1.11 states/eV/cell. Number 3: E -6.9 eV/cell, N(E_F) 2.25 states/eV/cell. Number 4: E -76.1 eV/cell, N(E_F) 16.84 states/eV/cell. Number 5: E -30.4 eV/cell, N(E_F) 3.15 states/eV/cell. Number 6: E -27.1 eV/cell, N(E_F) 10.02 states/eV/cell.